(1)
# TaTiBeI2

A relaxed structure of TaTiBeI2 (PBE-GGA, Alexandria via LeMat-Bulk).

a b c (Å): 4.844 4.844 4.393
angles (deg): 90.00 90.00 90.00
Element x y z (fractional)
Ta 0.000 0.000 0.000
Ti 0.500 0.500 0.000
Be 0.500 0.500 0.500
I 0.000 0.500 0.500
I 0.500 0.000 0.500

## Properties
The value obtained for the uncorrected formation energy is 128.17 kJ per mole of atoms. The space-group type is P4/mmm (123). For the density of states at the Fermi level, the calculation gives 1.088 states/eV per atom.



(2)
# Ta2BeWI

A relaxed structure of Ta2BeWI (PBE-GGA, Alexandria via LeMat-Bulk).

a b c (Å): 4.962 4.962 4.844
angles (deg): 90.00 90.00 90.00
Element x y z (fractional)
Ta 0.000 0.500 0.000
Ta 0.500 0.000 0.000
Be 0.000 0.000 0.500
W 0.500 0.500 0.500
I 0.500 0.500 0.000

## Properties
The value obtained for the uncorrected formation energy is 257.42 kJ per mole of atoms. The space-group type is P4/mmm (123). For the density of states at the Fermi level, the calculation gives 1.253 states/eV per atom.



(3)
# Y2TaBeI

A relaxed structure of Y2TaBeI (PBE-GGA, Alexandria via LeMat-Bulk).

a b c (Å): 5.273 5.273 4.503
angles (deg): 90.00 90.00 90.00
Element x y z (fractional)
Y 0.000 0.500 0.000
Y 0.500 0.000 0.000
Ta 0.000 0.000 0.500
Be 0.000 0.000 0.000
I 0.500 0.500 0.500

## Properties
The value obtained for the uncorrected formation energy is 37.27 kJ per mole of atoms. The space-group type is P4/mmm (123). For the density of states at the Fermi level, the calculation gives 1.021 states/eV per atom.



(4)
# ZrTa2BeI

A relaxed structure of ZrTa2BeI (PBE-GGA, Alexandria via LeMat-Bulk).

a b c (Å): 5.057 5.057 5.495
angles (deg): 90.00 90.00 90.00
Element x y z (fractional)
Zr 0.000 0.000 0.000
Ta 0.000 0.500 0.000
Ta 0.500 0.000 0.000
Be 0.500 0.500 0.500
I 0.000 0.000 0.500

## Properties
The value obtained for the uncorrected formation energy is 208.30 kJ per mole of atoms. The space-group type is P4/mmm (123). The value obtained for the offset from the most stable computed form is 1366.1 meV per atom. For the density of states at the Fermi level, the calculation gives 1.296 states/eV per atom.



(5)
# ZrTa2BeI

A relaxed structure of ZrTa2BeI (PBE-GGA, Alexandria via LeMat-Bulk).

a b c (Å): 4.456 4.456 4.997
angles (deg): 90.00 90.00 90.00
Element x y z (fractional)
Zr 0.000 0.000 0.000
Ta 0.000 0.500 0.500
Ta 0.500 0.000 0.500
Be 0.000 0.000 0.500
I 0.500 0.500 0.000

## Properties
The value obtained for the uncorrected formation energy is 76.49 kJ per mole of atoms. The space-group type is P4/mmm (123). The value obtained for the offset from the most stable computed form is 0.0 meV per atom. For the density of states at the Fermi level, the calculation gives 1.075 states/eV per atom.



(6)
# Tb7BeI12

A relaxed structure of Tb7BeI12 (PBE-GGA, Alexandria via LeMat-Bulk).

a b c (Å): 9.693 9.693 9.693
angles (deg): 107.68 107.68 107.68
Element x y z (fractional)
Tb 0.000 0.000 0.000
Tb 0.196 0.398 0.468
Tb 0.398 0.468 0.196
Tb 0.468 0.196 0.398
Tb 0.532 0.804 0.602
Tb 0.602 0.532 0.804
Tb 0.804 0.602 0.532
Be 0.500 0.500 0.500
I 0.029 0.345 0.110
I 0.110 0.029 0.345
I 0.184 0.728 0.577
I 0.272 0.423 0.816
I 0.345 0.110 0.029
I 0.423 0.816 0.272
I 0.577 0.184 0.728
I 0.655 0.890 0.971
I 0.728 0.577 0.184
I 0.816 0.272 0.423
I 0.890 0.971 0.655
I 0.971 0.655 0.890

## Properties
The value obtained for the uncorrected formation energy is -110.40 kJ per mole of atoms. The space-group type is R-3 (148). For the density of states at the Fermi level, the calculation gives 0.621 states/eV per atom.



(7)
# Tb4BeI5

A relaxed structure of Tb4BeI5 (PBE-GGA, Alexandria via LeMat-Bulk).

a b c (Å): 9.808 9.808 8.884
angles (deg): 102.36 102.36 23.96
Element x y z (fractional)
Tb 0.001 0.001 0.290
Tb 0.358 0.358 0.427
Tb 0.642 0.642 0.573
Tb 0.999 0.999 0.710
Be 0.500 0.500 0.500
I 0.166 0.166 0.843
I 0.174 0.174 0.327
I 0.500 0.500 0.000
I 0.826 0.826 0.673
I 0.834 0.834 0.157

## Properties
The value obtained for the uncorrected formation energy is -92.67 kJ per mole of atoms. The space-group type is C2/m (12). For the density of states at the Fermi level, the calculation gives 0.332 states/eV per atom.



(8)
# BeTcI3

A relaxed structure of BeTcI3 (PBE-GGA, Alexandria via LeMat-Bulk).

a b c (Å): 5.545 5.545 5.545
angles (deg): 90.00 90.00 90.00
Element x y z (fractional)
Be 0.000 0.000 0.000
Tc 0.500 0.500 0.500
I 0.000 0.500 0.500
I 0.500 0.000 0.500
I 0.500 0.500 0.000

## Properties
The value obtained for the uncorrected formation energy is 83.42 kJ per mole of atoms. The space-group type is Pm-3m (221). The value obtained for the offset from the most stable computed form is 18.9 meV per atom. For the density of states at the Fermi level, the calculation gives 0.677 states/eV per atom.



(9)
# BeTcI3

A relaxed structure of BeTcI3 (PBE-GGA, Alexandria via LeMat-Bulk).

a b c (Å): 5.284 5.284 5.284
angles (deg): 90.00 90.00 90.00
Element x y z (fractional)
Be 0.000 0.000 0.000
Tc 0.500 0.500 0.500
I 0.000 0.000 0.500
I 0.000 0.500 0.000
I 0.500 0.000 0.000

## Properties
The value obtained for the uncorrected formation energy is 81.60 kJ per mole of atoms. The space-group type is Pm-3m (221). The value obtained for the offset from the most stable computed form is 0.0 meV per atom. For the density of states at the Fermi level, the calculation gives 1.206 states/eV per atom.



(10)
# Be3TcI

A relaxed structure of Be3TcI (PBE-GGA, Alexandria via LeMat-Bulk).

a b c (Å): 4.373 4.373 4.373
angles (deg): 90.00 90.00 90.00
Element x y z (fractional)
Be 0.000 0.000 0.500
Be 0.000 0.500 0.000
Be 0.500 0.000 0.000
Tc 0.000 0.000 0.000
I 0.500 0.500 0.500

## Properties
The value obtained for the uncorrected formation energy is 113.08 kJ per mole of atoms. The space-group type is Pm-3m (221). The value obtained for the offset from the most stable computed form is 0.0 meV per atom. For the density of states at the Fermi level, the calculation gives 0.225 states/eV per atom.



(11)
# BeTc3I

A relaxed structure of BeTc3I (PBE-GGA, Alexandria via LeMat-Bulk).

a b c (Å): 4.286 4.286 4.286
angles (deg): 90.00 90.00 90.00
Element x y z (fractional)
Be 0.000 0.000 0.000
Tc 0.000 0.000 0.500
Tc 0.000 0.500 0.000
Tc 0.500 0.000 0.000
I 0.500 0.500 0.500

## Properties
The value obtained for the uncorrected formation energy is 105.92 kJ per mole of atoms. The space-group type is Pm-3m (221). The value obtained for the offset from the most stable computed form is 0.0 meV per atom. For the density of states at the Fermi level, the calculation gives 1.322 states/eV per atom.



(12)
# Be3TcI

A relaxed structure of Be3TcI (PBE-GGA, Alexandria via LeMat-Bulk).

a b c (Å): 4.544 4.544 4.544
angles (deg): 90.00 90.00 90.00
Element x y z (fractional)
Be 0.000 0.000 0.500
Be 0.000 0.500 0.000
Be 0.500 0.000 0.000
Tc 0.500 0.500 0.500
I 0.000 0.000 0.000

## Properties
The value obtained for the uncorrected formation energy is 210.59 kJ per mole of atoms. The space-group type is Pm-3m (221). The value obtained for the offset from the most stable computed form is 1010.6 meV per atom. For the density of states at the Fermi level, the calculation gives 0.915 states/eV per atom.